This record from the Alexandria database describes a relaxed LiNpMnO5 crystal. The functional is GGA+U.

Results
The calculation puts the magnetic moment at 0.632 μB per atom. The value obtained for the total energy is -8.10 eV per atom.

a b c (Å): 5.953 5.953 7.694
angles (deg): 101.31 101.31 114.30
Element x y z (fractional)
Li 0.037 0.963 0.750
Li 0.963 0.037 0.250
Np 0.000 0.500 0.000
Np 0.500 0.000 0.500
Mn 0.458 0.542 0.750
Mn 0.542 0.458 0.250
O 0.142 0.803 0.936
O 0.197 0.349 0.864
O 0.197 0.858 0.564
O 0.338 0.662 0.250
O 0.349 0.197 0.364
O 0.651 0.803 0.636
O 0.662 0.338 0.750
O 0.803 0.142 0.436
O 0.803 0.651 0.136
O 0.858 0.197 0.064